(1)
DFT (PBE) results for an optimized crystal structure of AlCo2Si.

For the density of states at the Fermi level, the calculation gives 4.2 states/eV/cell. As for the space group: P4mm, No. 99. The calculation puts the total energy at -23.9 eV/cell. The calculation puts the uncorrected formation energy at -11.5 kJ per mole of atoms. The calculation puts the size of the total moment at 0.3943 μB/atom.

Cell lengths 2.6667, 2.6667, 6.8710 Å; angles 90.00, 90.00, 90.00 degrees
Last column: nearest neighbours and their distance in Å.
Element x y z (fractional)
Al (0.0000, 0.0000, 0.0000)  4 Co 2.48, 4 Al 2.67
Co (0.0000, 0.0000, 0.4707)  4 Si 2.37, 4 Co 2.48
Co (0.5000, 0.5000, 0.2353)  4 Al 2.48, 8 Co 2.48-2.67
Si (0.5000, 0.5000, 0.6786)  4 Co 2.37

=====

(2)
DFT (PBE) results for an optimized crystal structure of Nd3Dy5As8.

For the density of states at the Fermi level, the calculation gives 2.2 states/eV/cell. As for the space group: R-3m, No. 166. Its formation energy from the elements is -1.52 eV/atom. The calculation puts the total energy at -98.8 eV/cell. The calculation puts the size of the total moment at 0.0000 μB/atom.

Cell lengths 8.3547, 8.3547, 8.3547 Å; angles 60.00, 60.00, 60.00 degrees
Last column: nearest neighbours and their distance in Å.
Element x y z (fractional)
Nd (0.0000, 0.5000, 0.5000)  6 As 2.99
Nd (0.5000, 0.0000, 0.5000)  6 As 2.99
Nd (0.5000, 0.5000, 0.0000)  6 As 2.99
Dy (0.0000, 0.0000, 0.0000)  6 As 2.95
Dy (0.0000, 0.0000, 0.5000)  6 As 2.92
Dy (0.0000, 0.5000, 0.0000)  6 As 2.92
Dy (0.5000, 0.0000, 0.0000)  6 As 2.92
Dy (0.5000, 0.5000, 0.5000)  6 As 2.95
As (0.2438, 0.7500, 0.7500)  4 Dy 2.92-2.95, 2 Nd 2.99
As (0.2468, 0.2468, 0.2468)  3 Dy 2.92, 3 Nd 2.99
As (0.2500, 0.2500, 0.7562)  4 Dy 2.92-2.95, 2 Nd 2.99
As (0.2500, 0.7562, 0.2500)  4 Dy 2.92-2.95, 2 Nd 2.99
As (0.7500, 0.2438, 0.7500)  4 Dy 2.92-2.95, 2 Nd 2.99
As (0.7500, 0.7500, 0.2438)  4 Dy 2.92-2.95, 2 Nd 2.99
As (0.7532, 0.7532, 0.7532)  3 Dy 2.92, 3 Nd 2.99
As (0.7562, 0.2500, 0.2500)  4 Dy 2.92-2.95, 2 Nd 2.99

=====

(3)
DFT (PBE) results for an optimized crystal structure of LiLu2Au.

For the density of states at the Fermi level, the calculation gives 2.1 states/eV/cell. As for the space group: Fm-3m, No. 225. Its formation energy from the elements is -0.44 eV/atom. The calculation puts the total energy at -64.0 eV/cell. The calculation puts the size of the total moment at 0.0000 μB/atom.

Cell lengths 7.0532, 7.0532, 7.0532 Å; angles 90.00, 90.00, 90.00 degrees
Last column: nearest neighbours and their distance in Å.
Element x y z (fractional)
Li (0.0000, 0.0000, 0.0000)  8 Lu 3.05
Li (0.0000, 0.5000, 0.5000)  8 Lu 3.05
Li (0.5000, 0.0000, 0.5000)  8 Lu 3.05
Li (0.5000, 0.5000, 0.0000)  8 Lu 3.05
Lu (0.2500, 0.2500, 0.2500)  4 Li 3.05, 4 Au 3.05
Lu (0.2500, 0.2500, 0.7500)  4 Li 3.05, 4 Au 3.05
Lu (0.2500, 0.7500, 0.2500)  4 Li 3.05, 4 Au 3.05
Lu (0.2500, 0.7500, 0.7500)  4 Li 3.05, 4 Au 3.05
Lu (0.7500, 0.2500, 0.2500)  4 Li 3.05, 4 Au 3.05
Lu (0.7500, 0.2500, 0.7500)  4 Li 3.05, 4 Au 3.05
Lu (0.7500, 0.7500, 0.2500)  4 Li 3.05, 4 Au 3.05
Lu (0.7500, 0.7500, 0.7500)  4 Li 3.05, 4 Au 3.05
Au (0.0000, 0.0000, 0.5000)  8 Lu 3.05
Au (0.0000, 0.5000, 0.0000)  8 Lu 3.05
Au (0.5000, 0.0000, 0.0000)  8 Lu 3.05
Au (0.5000, 0.5000, 0.5000)  8 Lu 3.05

=====

(4)
DFT (PBE) results for an optimized crystal structure of Cs2LaRe.

For the density of states at the Fermi level, the calculation gives 24.6 states/eV/cell. As for the space group: Fm-3m, No. 225. Its formation energy from the elements is 1.83 eV/atom. The calculation puts the total energy at -47.1 eV/cell. The calculation puts the size of the total moment at 0.2951 μB/atom.

Cell lengths 8.1230, 8.1230, 8.1230 Å; angles 90.00, 90.00, 90.00 degrees
Last column: nearest neighbours and their distance in Å.
Element x y z (fractional)
Cs (0.2500, 0.2500, 0.2500)  4 La 3.52, 4 Re 3.52
Cs (0.2500, 0.2500, 0.7500)  4 La 3.52, 4 Re 3.52
Cs (0.2500, 0.7500, 0.2500)  4 La 3.52, 4 Re 3.52
Cs (0.2500, 0.7500, 0.7500)  4 La 3.52, 4 Re 3.52
Cs (0.7500, 0.2500, 0.2500)  4 La 3.52, 4 Re 3.52
Cs (0.7500, 0.2500, 0.7500)  4 La 3.52, 4 Re 3.52
Cs (0.7500, 0.7500, 0.2500)  4 La 3.52, 4 Re 3.52
Cs (0.7500, 0.7500, 0.7500)  4 La 3.52, 4 Re 3.52
La (0.0000, 0.0000, 0.0000)  8 Cs 3.52
La (0.0000, 0.5000, 0.5000)  8 Cs 3.52
La (0.5000, 0.0000, 0.5000)  8 Cs 3.52
La (0.5000, 0.5000, 0.0000)  8 Cs 3.52
Re (0.0000, 0.0000, 0.5000)  8 Cs 3.52
Re (0.0000, 0.5000, 0.0000)  8 Cs 3.52
Re (0.5000, 0.0000, 0.0000)  8 Cs 3.52
Re (0.5000, 0.5000, 0.5000)  8 Cs 3.52

=====

(5)
DFT (PBE) results for an optimized crystal structure of La2PbW.

For the density of states at the Fermi level, the calculation gives 8.2 states/eV/cell. As for the space group: Cm, No. 8. Its formation energy from the elements is 0.31 eV/atom. The calculation puts the total energy at -50.5 eV/cell. The calculation puts the size of the total moment at 0.0000 μB/atom.

Cell lengths 12.6788, 3.7337, 5.1733 Å; angles 90.00, 114.02, 90.00 degrees
Last column: nearest neighbours and their distance in Å.
Element x y z (fractional)
La (0.0000, 0.0000, 0.0000)  4 W 3.20, 2 La 3.48-3.49, 2 Pb 3.54
La (0.2017, 0.0000, 0.7026)  2 W 3.19, 4 Pb 3.36, 2 La 3.48-3.49
La (0.5000, 0.5000, 0.0000)  4 W 3.20, 2 La 3.48-3.49, 2 Pb 3.54
La (0.7017, 0.5000, 0.7026)  2 W 3.19, 4 Pb 3.36, 2 La 3.48-3.49
Pb (0.2918, 0.5000, 0.2925)  2 W 2.86
Pb (0.7918, 0.0000, 0.2925)  2 W 2.86
W (0.4786, 0.0000, 0.4786)  2 Pb 2.86, 6 La 3.19-3.20
W (0.9786, 0.5000, 0.4786)  2 Pb 2.86, 6 La 3.19-3.20

=====

(6)
DFT (PBE) results for an optimized crystal structure of PuGaSnHg.

For the density of states at the Fermi level, the calculation gives 11.0 states/eV/cell. Its energy above the most stable polymorph in this dataset is 0.000 eV per atom. As for the space group: Pmmm, No. 47. Its formation energy from the elements is -0.25 eV/atom. The calculation puts the total energy at -22.7 eV/cell. The calculation puts the size of the total moment at 1.4146 μB/atom.

Cell lengths 4.3914, 4.6142, 4.6371 Å; angles 90.00, 90.00, 90.00 degrees
Last column: nearest neighbours and their distance in Å.
Element x y z (fractional)
Pu (0.0000, 0.0000, 0.0000)  4 Ga 3.18, 4 Sn 3.19, 4 Hg 3.27
Ga (0.5000, 0.5000, 0.0000)  4 Pu 3.18, 4 Hg 3.19, 4 Sn 3.27
Sn (0.5000, 0.0000, 0.5000)  4 Hg 3.18, 4 Pu 3.19, 4 Ga 3.27
Hg (0.0000, 0.5000, 0.5000)  4 Sn 3.18, 4 Ga 3.19, 4 Pu 3.27

=====

(7)
DFT (PBE) results for an optimized crystal structure of HfNbMoIr.

For the density of states at the Fermi level, the calculation gives 7.0 states/eV/cell. As for the space group: F-43m, No. 216. Its formation energy from the elements is -0.50 eV/atom. The calculation puts the total energy at -166.8 eV/cell. The calculation puts the size of the total moment at 0.0000 μB/atom.

Cell lengths 6.4885, 6.4885, 6.4885 Å; angles 90.00, 90.00, 90.00 degrees
Last column: nearest neighbours and their distance in Å.
Element x y z (fractional)
Hf (0.0000, 0.0000, 0.0000)  4 Ir 2.81, 4 Mo 2.81
Hf (0.0000, 0.5000, 0.5000)  4 Ir 2.81, 4 Mo 2.81
Hf (0.5000, 0.0000, 0.5000)  4 Ir 2.81, 4 Mo 2.81
Hf (0.5000, 0.5000, 0.0000)  4 Ir 2.81, 4 Mo 2.81
Nb (0.0000, 0.0000, 0.5000)  4 Mo 2.81, 4 Ir 2.81
Nb (0.0000, 0.5000, 0.0000)  4 Mo 2.81, 4 Ir 2.81
Nb (0.5000, 0.0000, 0.0000)  4 Mo 2.81, 4 Ir 2.81
Nb (0.5000, 0.5000, 0.5000)  4 Mo 2.81, 4 Ir 2.81
Mo (0.2500, 0.2500, 0.7500)  4 Hf 2.81, 4 Nb 2.81
Mo (0.2500, 0.7500, 0.2500)  4 Hf 2.81, 4 Nb 2.81
Mo (0.7500, 0.2500, 0.2500)  4 Hf 2.81, 4 Nb 2.81
Mo (0.7500, 0.7500, 0.7500)  4 Hf 2.81, 4 Nb 2.81
Ir (0.2500, 0.2500, 0.2500)  4 Nb 2.81, 4 Hf 2.81
Ir (0.2500, 0.7500, 0.7500)  4 Nb 2.81, 4 Hf 2.81
Ir (0.7500, 0.2500, 0.7500)  4 Nb 2.81, 4 Hf 2.81
Ir (0.7500, 0.7500, 0.2500)  4 Nb 2.81, 4 Hf 2.81

=====

(8)
DFT (PBE) results for an optimized crystal structure of Na2CaTaS4.

For the density of states at the Fermi level, the calculation gives 2.9 states/eV/cell. As for the space group: I-4, No. 82. The calculation puts the total energy at -84.6 eV/cell. The calculation puts the uncorrected formation energy at -112.0 kJ per mole of atoms. The calculation puts the size of the total moment at 0.1291 μB/atom.

Cell lengths 6.7701, 6.7701, 9.4502 Å; angles 90.00, 90.00, 90.00 degrees
Last column: nearest neighbours and their distance in Å.
Element x y z (fractional)
Na (0.0000, 0.0000, 0.0000)  4 S 2.87
Na (0.0000, 0.5000, 0.2500)  4 S 2.78
Na (0.5000, 0.0000, 0.7500)  4 S 2.78
Na (0.5000, 0.5000, 0.5000)  4 S 2.87
Ca (0.0000, 0.5000, 0.7500)  4 S 2.73
Ca (0.5000, 0.0000, 0.2500)  4 S 2.73
Ta (0.0000, 0.0000, 0.5000)  4 S 2.35
Ta (0.5000, 0.5000, 0.0000)  4 S 2.35
S (0.2178, 0.7769, 0.6091)  1 Ta 2.35
S (0.2231, 0.2178, 0.3909)  1 Ta 2.35
S (0.2769, 0.2822, 0.8909)  1 Ta 2.35
S (0.2822, 0.7231, 0.1091)  1 Ta 2.35
S (0.7178, 0.2769, 0.1091)  1 Ta 2.35
S (0.7231, 0.7178, 0.8909)  1 Ta 2.35
S (0.7769, 0.7822, 0.3909)  1 Ta 2.35
S (0.7822, 0.2231, 0.6091)  1 Ta 2.35

=====

(9)
DFT (PBE) results for an optimized crystal structure of Th2BiN2.

For the density of states at the Fermi level, the calculation gives 1.6 states/eV/cell. Its energy above the most stable polymorph in this dataset is 0.000 eV per atom. As for the space group: I4/mmm, No. 139. The calculation puts the total energy at -85.9 eV/cell. The calculation puts the uncorrected formation energy at -146.0 kJ per mole of atoms. The calculation puts the size of the total moment at 0.0000 μB/atom.

Cell lengths 4.0807, 4.0807, 14.1464 Å; angles 90.00, 90.00, 90.00 degrees
Last column: nearest neighbours and their distance in Å.
Element x y z (fractional)
Th (0.0000, 0.0000, 0.1688)  4 N 2.34
Th (0.0000, 0.0000, 0.8312)  4 N 2.34
Th (0.5000, 0.5000, 0.3312)  4 N 2.34
Th (0.5000, 0.5000, 0.6688)  4 N 2.34
Bi (0.0000, 0.0000, 0.5000)  8 Th 3.75, 4 Bi 4.08, 8 N 4.08
Bi (0.5000, 0.5000, 0.0000)  8 Th 3.75, 4 Bi 4.08, 8 N 4.08
N (0.0000, 0.5000, 0.2500)  4 Th 2.34
N (0.0000, 0.5000, 0.7500)  4 Th 2.34
N (0.5000, 0.0000, 0.2500)  4 Th 2.34
N (0.5000, 0.0000, 0.7500)  4 Th 2.34

=====

(10)
DFT (PBE) results for an optimized crystal structure of KPdBr.

For the density of states at the Fermi level, the calculation gives 0.0 states/eV/cell. Its energy above the most stable polymorph in this dataset is 0.029 eV per atom. As for the space group: P1, No. 1. The calculation puts the total energy at -20.0 eV/cell. The calculation puts the uncorrected formation energy at -65.8 kJ per mole of atoms. The calculation puts the size of the total moment at 0.0000 μB/atom.

Cell lengths 4.7870, 6.5198, 6.5199 Å; angles 92.92, 92.79, 92.69 degrees
Last column: nearest neighbours and their distance in Å.
Element x y z (fractional)
K (0.0000, 0.0000, 0.0000)  4 Pd 3.23-3.43, 3 Br 3.43-3.51
K (0.0009, 0.5546, 0.4461)  4 Pd 3.23-3.43, 3 Br 3.43-3.50
Pd (0.4920, 0.6444, 0.0901)  2 Br 2.43-2.48
Pd (0.9745, 0.4864, 0.9324)  2 Br 2.58-2.62, 2 Pd 2.77-2.79
Br (0.4642, 0.3734, 0.8196)  3 Pd 2.43-2.62
Br (0.5220, 0.9213, 0.3671)  1 Pd 2.48

=====

(11)
DFT (PBE) results for an optimized crystal structure of NdSmCuRh.

For the density of states at the Fermi level, the calculation gives 15.8 states/eV/cell. Its energy above the most stable polymorph in this dataset is 0.053 eV per atom. As for the space group: F-43m, No. 216. Its formation energy from the elements is -0.43 eV/atom. The calculation puts the total energy at -90.7 eV/cell. The calculation puts the size of the total moment at 0.0000 μB/atom.

Cell lengths 7.0948, 7.0948, 7.0948 Å; angles 90.00, 90.00, 90.00 degrees
Last column: nearest neighbours and their distance in Å.
Element x y z (fractional)
Nd (0.0000, 0.0000, 0.0000)  4 Rh 3.07, 4 Cu 3.07
Nd (0.0000, 0.5000, 0.5000)  4 Cu 3.07, 4 Rh 3.07
Nd (0.5000, 0.0000, 0.5000)  4 Cu 3.07, 4 Rh 3.07
Nd (0.5000, 0.5000, 0.0000)  4 Cu 3.07, 4 Rh 3.07
Sm (0.0000, 0.0000, 0.5000)  4 Cu 3.07, 4 Rh 3.07
Sm (0.0000, 0.5000, 0.0000)  4 Cu 3.07, 4 Rh 3.07
Sm (0.5000, 0.0000, 0.0000)  4 Cu 3.07, 4 Rh 3.07
Sm (0.5000, 0.5000, 0.5000)  4 Cu 3.07, 4 Rh 3.07
Cu (0.2500, 0.2500, 0.7500)  4 Nd 3.07, 4 Sm 3.07
Cu (0.2500, 0.7500, 0.2500)  4 Nd 3.07, 4 Sm 3.07
Cu (0.7500, 0.2500, 0.2500)  4 Nd 3.07, 4 Sm 3.07
Cu (0.7500, 0.7500, 0.7500)  4 Nd 3.07, 4 Sm 3.07
Rh (0.2500, 0.2500, 0.2500)  4 Sm 3.07, 4 Nd 3.07
Rh (0.2500, 0.7500, 0.7500)  4 Nd 3.07, 4 Sm 3.07
Rh (0.7500, 0.2500, 0.7500)  4 Nd 3.07, 4 Sm 3.07
Rh (0.7500, 0.7500, 0.2500)  4 Nd 3.07, 4 Sm 3.07

=====

(12)
DFT (PBE) results for an optimized crystal structure of Zn2PtO.

For the density of states at the Fermi level, the calculation gives 5.3 states/eV/cell. As for the space group: I-42d, No. 122. The calculation puts the total energy at -63.1 eV/cell. The calculation puts the uncorrected formation energy at -53.6 kJ per mole of atoms. The calculation puts the size of the total moment at 0.0000 μB/atom.

Cell lengths 5.8614, 5.8614, 6.8782 Å; angles 90.00, 90.00, 90.00 degrees
Last column: nearest neighbours and their distance in Å.
Element x y z (fractional)
Zn (0.1734, 0.7500, 0.1250)  2 O 1.98
Zn (0.2500, 0.1734, 0.8750)  2 O 1.98
Zn (0.2500, 0.3266, 0.3750)  2 O 1.98
Zn (0.3266, 0.7500, 0.6250)  2 O 1.98
Zn (0.6734, 0.2500, 0.6250)  2 O 1.98
Zn (0.7500, 0.6734, 0.3750)  2 O 1.98
Zn (0.7500, 0.8266, 0.8750)  2 O 1.98
Zn (0.8266, 0.2500, 0.1250)  2 O 1.98
Pt (0.0000, 0.0000, 0.5000)  4 Zn 2.56
Pt (0.0000, 0.5000, 0.7500)  4 Zn 2.56
Pt (0.5000, 0.0000, 0.2500)  4 Zn 2.56
Pt (0.5000, 0.5000, 0.0000)  4 Zn 2.56
O (0.0000, 0.0000, 0.0000)  4 Zn 1.98
O (0.0000, 0.5000, 0.2500)  4 Zn 1.98
O (0.5000, 0.0000, 0.7500)  4 Zn 1.98
O (0.5000, 0.5000, 0.5000)  4 Zn 1.98